Run i
A relaxed K2MnCr crystal. Source: Alexandria, functional PBE.

a = 3.691 Å, b = 6.271 Å, c = 11.951 Å
α = 90.00°, β = 90.00°, γ = 90.00°
Positions (direct):
K (0.000, 0.000, 0.000)
K (0.000, 0.500, 0.200)
K (0.500, 0.000, 0.700)
K (0.500, 0.500, 0.500)
Mn (0.000, 0.500, 0.783)
Mn (0.500, 0.000, 0.283)
Cr (0.000, 0.000, 0.410)
Cr (0.500, 0.500, 0.910)

Results
Theoretical density in kg/m3: 2222
Spin magnetization in μB/cell: 0.4

***

Run ii
A relaxed K2MnCr crystal. Source: Alexandria, functional PBE.

a = 4.956 Å, b = 4.984 Å, c = 11.131 Å
α = 90.00°, β = 90.00°, γ = 90.00°
Positions (direct):
K (0.000, 0.000, 0.250)
K (0.000, 0.000, 0.750)
K (0.500, 0.500, 0.250)
K (0.500, 0.500, 0.750)
Mn (0.000, 0.500, 0.000)
Mn (0.500, 0.000, 0.500)
Cr (0.000, 0.500, 0.500)
Cr (0.500, 0.000, 0.000)

Results
Theoretical density in kg/m3: 2236
Spin magnetization in μB/cell: 19.0

***

Most stable: run i. Least stable: run ii.

***

Run i
A relaxed KMn2Cr crystal. Source: Alexandria, functional PBE.

a = 4.489 Å, b = 4.489 Å, c = 4.466 Å
α = 90.00°, β = 90.00°, γ = 90.00°
Positions (direct):
K (0.000, 0.000, 0.000)
Mn (0.000, 0.500, 0.500)
Mn (0.500, 0.000, 0.500)
Cr (0.500, 0.500, 0.000)

Results
Theoretical density in kg/m3: 3709
Spin magnetization in μB/cell: 12.7

***

Run ii
A relaxed KMn2Cr crystal. Source: Alexandria, functional PBE.

a = 2.948 Å, b = 5.674 Å, c = 10.274 Å
α = 90.00°, β = 90.00°, γ = 90.00°
Positions (direct):
K (0.000, 0.000, 0.000)
K (0.500, 0.500, 0.500)
Mn (0.000, 0.500, 0.198)
Mn (0.000, 0.500, 0.802)
Mn (0.500, 0.000, 0.302)
Mn (0.500, 0.000, 0.698)
Cr (0.000, 0.000, 0.500)
Cr (0.500, 0.500, 0.000)

Results
Theoretical density in kg/m3: 3883
Spin magnetization in μB/cell: 7.7

***

Run iii
A relaxed KMn2Cr crystal. Source: Alexandria, functional PBE.

a = 7.541 Å, b = 2.921 Å, c = 7.924 Å
α = 90.00°, β = 94.75°, γ = 90.00°
Positions (direct):
K (0.000, 0.000, 0.000)
K (0.500, 0.500, 0.000)
Mn (0.000, 0.500, 0.493)
Mn (0.229, 0.000, 0.643)
Mn (0.500, 0.000, 0.493)
Mn (0.729, 0.500, 0.643)
Cr (0.271, 0.500, 0.355)
Cr (0.771, 0.000, 0.355)

Results
Theoretical density in kg/m3: 3837
Spin magnetization in μB/cell: 9.3

***

Run iv
A relaxed KMn2Cr crystal. Source: Alexandria, functional PBE.

a = 3.051 Å, b = 3.051 Å, c = 8.497 Å
α = 90.00°, β = 90.00°, γ = 90.00°
Positions (direct):
K (0.000, 0.000, 0.000)
Mn (0.500, 0.500, 0.345)
Mn (0.500, 0.500, 0.655)
Cr (0.000, 0.000, 0.500)

Results
Theoretical density in kg/m3: 4219
Spin magnetization in μB/cell: 5.3

***

Most stable: run iv. Least stable: run i.

***

Run i
A relaxed KMn2Cr crystal. Source: Alexandria, functional PBE.

a = 6.895 Å, b = 6.895 Å, c = 6.895 Å
α = 90.00°, β = 90.00°, γ = 90.00°
Positions (direct):
K (0.000, 0.000, 0.000)
K (0.000, 0.500, 0.500)
K (0.500, 0.000, 0.500)
K (0.500, 0.500, 0.000)
Mn (0.250, 0.250, 0.250)
Mn (0.250, 0.250, 0.750)
Mn (0.250, 0.750, 0.250)
Mn (0.250, 0.750, 0.750)
Mn (0.750, 0.250, 0.250)
Mn (0.750, 0.250, 0.750)
Mn (0.750, 0.750, 0.250)
Mn (0.750, 0.750, 0.750)
Cr (0.000, 0.000, 0.500)
Cr (0.000, 0.500, 0.000)
Cr (0.500, 0.000, 0.000)
Cr (0.500, 0.500, 0.500)

Results
Theoretical density in kg/m3: 4073
Spin magnetization in μB/cell: 14.1

***

Run ii
A relaxed KMn2Cr crystal. Source: Alexandria, functional PBE.

a = 3.089 Å, b = 3.089 Å, c = 8.641 Å
α = 90.00°, β = 90.00°, γ = 90.00°
Positions (direct):
K (0.000, 0.000, 0.000)
Mn (0.000, 0.000, 0.511)
Mn (0.500, 0.500, 0.345)
Cr (0.500, 0.500, 0.662)

Results
Theoretical density in kg/m3: 4048
Spin magnetization in μB/cell: 5.0

***

Run iii
A relaxed KMn2Cr crystal. Source: Alexandria, functional PBE.

a = 6.860 Å, b = 6.860 Å, c = 6.860 Å
α = 90.00°, β = 90.00°, γ = 90.00°
Positions (direct):
K (0.000, 0.000, 0.000)
K (0.000, 0.500, 0.500)
K (0.500, 0.000, 0.500)
K (0.500, 0.500, 0.000)
Mn (0.000, 0.000, 0.500)
Mn (0.000, 0.500, 0.000)
Mn (0.250, 0.250, 0.250)
Mn (0.250, 0.750, 0.750)
Mn (0.500, 0.000, 0.000)
Mn (0.500, 0.500, 0.500)
Mn (0.750, 0.250, 0.750)
Mn (0.750, 0.750, 0.250)
Cr (0.250, 0.250, 0.750)
Cr (0.250, 0.750, 0.250)
Cr (0.750, 0.250, 0.250)
Cr (0.750, 0.750, 0.750)

Results
Theoretical density in kg/m3: 4135
Spin magnetization in μB/cell: 15.7

***

Most stable: run ii. Least stable: run iii.